(1)
VASP calculation (GGA-PBE) on YSc2Hg after structural relaxation.

Calculated values
formation energy: -0.45 eV/f.u.
calculated density: 6.4 g/cm³
total DFT energy (no corrections): -4.97 eV/atom

Cell and atoms, written as POSCAR:
```
YSc2Hg
1.0
5.763 0.034 0.000
2.175 5.337 0.000
-3.969 -2.686 3.201
Y Hg Sc
1 1 2
Direct
0.250 0.750 0.500 Y
0.750 0.250 0.500 Hg
0.000 0.000 0.000 Sc
0.500 0.500 0.000 Sc
```

(2)
VASP calculation (GGA-PBE) on K3DySc2O6 after structural relaxation.

Calculated values
calculated density: 4.3 g/cm³
total DFT energy (no corrections): -6.94 eV/atom
formation energy (no corrections): -2.75 eV/atom

Cell and atoms, written as POSCAR:
```
K3DySc2O6
1.0
5.764 -0.001 0.001
-2.881 4.992 0.001
-0.961 -1.664 6.199
K O Sc Dy
3 6 2 1
Direct
0.500 0.500 0.500 K
0.832 0.168 0.500 K
0.168 0.832 0.500 K
0.712 0.712 0.180 O
0.592 0.940 0.820 O
0.940 0.592 0.820 O
0.060 0.408 0.180 O
0.288 0.288 0.820 O
0.408 0.060 0.180 O
0.667 0.333 0.000 Sc
0.333 0.667 0.000 Sc
0.000 0.000 0.000 Dy
```

(3)
VASP calculation (GGA-PBE) on Pm8Zn2Rh after structural relaxation.

Calculated values
formation energy: -2.46 eV/f.u.
calculated density: 7.4 g/cm³
total DFT energy (no corrections): -4.58 eV/atom

Cell and atoms, written as POSCAR:
```
Pm8Zn2Rh
1.0
5.196 0.000 0.000
0.000 6.818 0.478
-2.598 -2.353 8.685
Rh Pm Zn
1 8 2
Direct
0.500 0.000 0.000 Rh
0.411 0.561 0.821 Pm
0.972 0.220 0.944 Pm
0.201 0.318 0.402 Pm
0.344 0.040 0.687 Pm
0.589 0.439 0.179 Pm
0.656 0.960 0.313 Pm
0.799 0.682 0.598 Pm
0.028 0.780 0.056 Pm
0.806 0.256 0.611 Zn
0.194 0.744 0.389 Zn
```

(4)
VASP calculation (GGA-PBE) on PuHg3Te2F6 after structural relaxation.

Calculated values
calculated density: 7.1 g/cm³
total DFT energy (no corrections): -4.67 eV/atom
formation energy (no corrections): -1.94 eV/atom

Cell and atoms, written as POSCAR:
```
PuHg3Te2F6
1.0
-4.973 1.143 1.765
-1.600 -7.315 0.230
5.014 2.922 5.800
F Te Hg Pu
6 2 3 1
Direct
0.286 0.105 0.209 F
0.714 0.895 0.791 F
0.269 0.127 0.831 F
0.731 0.873 0.169 F
0.731 0.296 0.169 F
0.269 0.704 0.831 F
0.123 0.693 0.386 Te
0.877 0.307 0.614 Te
0.500 0.000 0.500 Hg
0.500 0.500 0.500 Hg
0.000 0.500 0.000 Hg
0.500 0.000 0.000 Pu
```

(5)
VASP calculation (GGA-PBE) on Tb6Pr4Nd after structural relaxation.

Calculated values
formation energy: 3.28 eV/f.u.
calculated density: 7.1 g/cm³
total DFT energy (no corrections): -4.40 eV/atom

Cell and atoms, written as POSCAR:
```
Tb6Pr4Nd
1.0
-4.463 -5.591 -6.629
8.566 0.609 4.623
0.470 1.073 9.683
Tb Pr Nd
6 4 1
Direct
0.000 0.445 0.799 Tb
0.647 0.201 0.201 Tb
0.000 0.799 0.445 Tb
0.353 0.555 0.555 Tb
0.500 0.500 0.000 Tb
0.500 0.000 0.500 Tb
0.382 0.367 0.367 Pr
0.618 0.985 0.985 Pr
0.000 0.633 0.015 Pr
0.000 0.015 0.633 Pr
0.000 0.000 0.000 Nd
```

(6)
VASP calculation (GGA-PBE) on NaTlGe after structural relaxation.

Calculated values
formation energy: 0.22 eV/f.u.
calculated density: 6.0 g/cm³
total DFT energy (no corrections): -2.70 eV/atom

Cell and atoms, written as POSCAR:
```
NaTlGe
1.0
-4.189 0.574 2.048
0.984 -3.486 2.992
3.018 4.957 4.784
Na Tl Ge
2 2 2
Direct
0.500 0.000 0.151 Na
0.000 0.500 0.849 Na
0.000 0.000 0.500 Tl
0.500 0.500 0.500 Tl
0.500 0.000 0.742 Ge
0.000 0.500 0.258 Ge
```

(7)
VASP calculation (GGA-PBE) on TcHSe3 after structural relaxation.

Calculated values
calculated density: 4.7 g/cm³
total DFT energy (no corrections): -4.08 eV/atom

Cell and atoms, written as POSCAR:
```
TcHSe3
1.0
4.903 0.000 0.000
0.000 4.903 0.000
0.000 0.000 4.903
Tc H Se
1 1 3
Direct
0.000 0.000 0.000 Tc
0.500 0.500 0.500 H
0.000 0.000 0.500 Se
0.500 0.000 0.000 Se
0.000 0.500 0.000 Se
```

(8)
VASP calculation (GGA-PBE) on MgOsCl2 after structural relaxation.

Calculated values
calculated density: 4.9 g/cm³
total DFT energy (no corrections): -4.20 eV/atom
formation energy (no corrections): -0.07 eV/atom

Cell and atoms, written as POSCAR:
```
MgOsCl2
1.0
7.422 0.169 -0.019
5.270 5.228 0.019
-5.960 -3.606 2.566
Cl Mg Os
2 1 1
Direct
0.115 0.115 0.000 Cl
0.385 0.385 0.000 Cl
0.750 0.250 0.500 Mg
0.250 0.750 0.500 Os
```

(9)
VASP calculation (GGA-PBE) on Ac8Sm5Ho after structural relaxation.

Calculated values
formation energy: 1.08 eV/f.u.
calculated density: 8.1 g/cm³
total DFT energy (no corrections): -4.28 eV/atom

Cell and atoms, written as POSCAR:
```
Ac8Sm5Ho
1.0
-1.719 5.089 -5.313
-1.836 -9.461 -3.160
-5.640 2.420 6.856
Ac Ho Sm
8 1 5
Direct
0.260 0.235 0.309 Ac
0.520 0.394 0.000 Ac
0.024 0.688 0.436 Ac
0.761 0.240 0.309 Ac
0.265 0.817 0.150 Ac
0.761 0.959 0.880 Ac
0.510 0.674 0.422 Ac
0.017 0.105 0.607 Ac
0.281 0.558 0.746 Ho
0.269 0.965 0.873 Sm
0.765 0.816 0.158 Sm
0.013 0.390 0.003 Sm
0.523 0.106 0.612 Sm
0.782 0.552 0.744 Sm
```

(10)
VASP calculation (GGA-PBE) on Zr2SiOsN after structural relaxation.

Calculated values
calculated density: 8.7 g/cm³
total DFT energy (no corrections): -8.90 eV/atom
formation energy (no corrections): -0.48 eV/atom

Cell and atoms, written as POSCAR:
```
Zr2SiOsN
1.0
4.425 0.000 0.000
0.000 4.024 0.000
0.000 0.000 4.425
N Os Zr Si
1 1 2 1
Direct
0.000 0.000 0.000 N
0.000 0.500 0.000 Os
0.500 0.000 0.000 Zr
0.000 0.000 0.500 Zr
0.500 0.500 0.500 Si
```

(11)
VASP calculation (GGA-PBE) on CaAlCdSn after structural relaxation.

Calculated values
formation energy: -0.43 eV/f.u.
calculated density: 5.0 g/cm³
total DFT energy (no corrections): -2.77 eV/atom

Cell and atoms, written as POSCAR:
```
CaAlCdSn
1.0
5.195 0.000 0.000
2.598 4.499 0.000
2.598 1.500 4.242
Ca Cd Sn Al
1 1 1 1
Direct
0.000 0.000 0.000 Ca
0.750 0.750 0.750 Cd
0.250 0.250 0.250 Sn
0.500 0.500 0.500 Al
```

(12)
VASP calculation (GGA-PBE) on Ac3Pd3Rh2 after structural relaxation.

Calculated values
formation energy: -4.76 eV/f.u.
calculated density: 9.7 g/cm³
total DFT energy (no corrections): -5.92 eV/atom

Cell and atoms, written as POSCAR:
```
Ac3Pd3Rh2
1.0
4.230 0.000 0.000
-2.115 5.505 0.000
0.000 0.000 17.766
Pd Ac Rh
6 6 4
Direct
0.907 0.815 0.446 Pd
0.093 0.185 0.946 Pd
0.656 0.311 0.250 Pd
0.344 0.689 0.750 Pd
0.093 0.185 0.554 Pd
0.907 0.815 0.054 Pd
0.360 0.721 0.576 Ac
0.369 0.737 0.250 Ac
0.631 0.263 0.750 Ac
0.360 0.721 0.924 Ac
0.640 0.279 0.076 Ac
0.640 0.279 0.424 Ac
0.951 0.902 0.826 Rh
0.951 0.902 0.674 Rh
0.049 0.098 0.326 Rh
0.049 0.098 0.174 Rh
```

(13)
VASP calculation (GGA-PBE) on Gd3InOs after structural relaxation.

Calculated values
formation energy: -0.60 eV/f.u.
calculated density: 8.2 g/cm³
total DFT energy (no corrections): -11.36 eV/atom

Cell and atoms, written as POSCAR:
```
Gd3InOs
1.0
5.388 0.000 0.000
0.000 5.388 0.000
0.000 0.000 5.388
Gd Os In
3 1 1
Direct
0.500 0.000 0.000 Gd
0.000 0.500 0.000 Gd
0.000 0.000 0.500 Gd
0.000 0.000 0.000 Os
0.500 0.500 0.500 In
```

(14)
VASP calculation (GGA-PBE) on TbP2N4 after structural relaxation.

Calculated values
calculated density: 5.8 g/cm³
total DFT energy (no corrections): -7.63 eV/atom
formation energy (no corrections): -0.66 eV/atom

Cell and atoms, written as POSCAR:
```
TbP2N4
1.0
5.512 -0.606 2.918
2.363 5.180 0.988
0.721 -0.510 5.697
N P Tb
8 4 2
Direct
0.261 0.598 0.815 N
0.093 0.750 0.361 N
0.554 0.365 0.192 N
0.525 0.869 0.293 N
0.625 0.730 0.838 N
0.660 0.152 0.605 N
0.170 0.230 0.692 N
0.195 0.222 0.165 N
0.840 0.904 0.694 P
0.323 0.312 0.821 P
0.438 0.674 0.173 P
0.349 0.181 0.340 P
0.978 0.980 0.050 Tb
0.738 0.533 0.463 Tb
```

(15)
VASP calculation (GGA-PBE) on ZrAl2Cu after structural relaxation.

Calculated values
formation energy: -0.93 eV/f.u.
calculated density: 5.0 g/cm³
total DFT energy (no corrections): -5.26 eV/atom

Cell and atoms, written as POSCAR:
```
ZrAl2Cu
1.0
-3.849 3.833 -0.900
-6.313 -6.023 1.346
-0.030 1.274 5.557
Al Cu Zr
8 4 4
Direct
0.500 0.500 0.750 Al
0.000 0.500 0.250 Al
0.000 0.500 0.750 Al
0.500 0.000 0.250 Al
0.000 0.000 0.750 Al
0.500 0.000 0.750 Al
0.500 0.500 0.250 Al
0.000 0.000 0.250 Al
0.250 0.250 0.814 Cu
0.750 0.750 0.686 Cu
0.750 0.750 0.186 Cu
0.250 0.250 0.314 Cu
0.750 0.250 0.011 Zr
0.750 0.250 0.511 Zr
0.250 0.750 0.489 Zr
0.250 0.750 0.989 Zr
```

(16)
VASP calculation (GGA-PBE) on NbTeW after structural relaxation.

Calculated values
calculated density: 11.3 g/cm³
total DFT energy (no corrections): -8.28 eV/atom
formation energy (no corrections): 0.45 eV/atom

Cell and atoms, written as POSCAR:
```
NbTeW
1.0
3.346 0.000 0.000
-1.673 2.899 0.000
0.000 0.000 12.243
Nb Te W
2 2 2
Direct
0.611 0.222 0.343 Nb
0.611 0.222 0.657 Nb
0.278 0.556 0.162 Te
0.278 0.556 0.838 Te
0.611 0.222 0.000 W
0.278 0.556 0.500 W
```

(17)
VASP calculation (GGA-PBE) on ZrHgBi after structural relaxation.

Calculated values
formation energy: -0.34 eV/f.u.
calculated density: 10.5 g/cm³
total DFT energy (no corrections): -4.36 eV/atom

Cell and atoms, written as POSCAR:
```
ZrHgBi
1.0
7.475 0.000 0.002
0.000 4.212 0.000
-0.006 0.000 5.023
Hg Bi Zr
2 2 2
Direct
0.268 0.500 0.992 Hg
0.268 0.000 0.492 Hg
0.851 0.500 0.995 Bi
0.851 0.000 0.495 Bi
0.551 0.500 0.494 Zr
0.551 0.000 0.994 Zr
```

(18)
VASP calculation (GGA-PBE) on Zn6Cu12Rh after structural relaxation.

Calculated values
formation energy: -0.38 eV/f.u.
calculated density: 8.3 g/cm³
total DFT energy (no corrections): -3.40 eV/atom

Cell and atoms, written as POSCAR:
```
Zn6Cu12Rh
1.0
-4.472 3.288 3.026
-4.046 -1.156 -4.718
-1.905 -5.273 2.921
Zn Rh Cu
6 1 12
Direct
0.273 0.724 0.884 Zn
0.884 0.273 0.724 Zn
0.724 0.884 0.273 Zn
0.116 0.727 0.276 Zn
0.727 0.276 0.116 Zn
0.276 0.116 0.727 Zn
0.000 0.000 0.000 Rh
0.443 0.794 0.526 Cu
0.375 0.044 0.162 Cu
0.206 0.474 0.557 Cu
0.625 0.956 0.838 Cu
0.557 0.206 0.474 Cu
0.838 0.625 0.956 Cu
0.794 0.526 0.443 Cu
0.956 0.838 0.625 Cu
0.162 0.375 0.044 Cu
0.474 0.557 0.206 Cu
0.044 0.162 0.375 Cu
0.526 0.443 0.794 Cu
```

(19)
VASP calculation (GGA-PBE) on PmErScIn after structural relaxation.

Calculated values
formation energy: -0.37 eV/f.u.
calculated density: 7.3 g/cm³
total DFT energy (no corrections): -4.69 eV/atom

Cell and atoms, written as POSCAR:
```
PmErScIn
1.0
5.345 0.000 0.000
0.000 5.345 0.000
-2.672 -2.672 3.778
Sc Er Pm In
1 1 1 1
Direct
0.500 0.500 0.000 Sc
0.000 0.000 0.000 Er
0.750 0.250 0.500 Pm
0.250 0.750 0.500 In
```

(20)
VASP calculation (GGA-PBE) on Ba2SnGePd6 after structural relaxation.

Calculated values
formation energy: -5.96 eV/f.u.
calculated density: 7.8 g/cm³
total DFT energy (no corrections): -4.96 eV/atom

Cell and atoms, written as POSCAR:
```
Ba2SnGePd6
1.0
-3.691 -3.064 3.319
6.540 -3.212 4.307
0.992 0.597 6.777
Pd Ba Sn Ge
6 2 1 1
Direct
0.221 0.710 0.060 Pd
0.253 0.380 0.495 Pd
0.747 0.620 0.505 Pd
0.779 0.290 0.940 Pd
0.281 0.290 0.940 Pd
0.719 0.710 0.060 Pd
0.249 0.796 0.502 Ba
0.751 0.204 0.498 Ba
0.000 0.000 0.000 Sn
0.500 0.500 0.000 Ge
```